Record 1
# Y2PtPb2 | Alexandria | GGA-PBE | relaxed
# E_tot   -5.709 eV/atom
# DFT formation energy   -0.431 eV/atom
# Offset from the most stable computed form   0.074 eV per atom
data_Y2PtPb2
_chemical_formula_sum 'Y4 Pt2 Pb4'
_cell_length_a 7.495
_cell_length_b 7.495
_cell_length_c 5.023
_cell_angle_alpha 90.00
_cell_angle_beta 90.00
_cell_angle_gamma 90.00
_space_group_name_H-M_alt 'P 4/m b m'
_space_group_IT_number 127
_space_group_name_Hall '-P 4 2ab'
loop_
_atom_site_label
_atom_site_type_symbol
_atom_site_fract_x
_atom_site_fract_y
_atom_site_fract_z
_atom_site_occupancy
Y1 Y 0.166 0.334 0.000 1
Pt1 Pt 0.000 0.000 0.000 1
Pb1 Pb 0.150 0.650 0.500 1

Record 2
# Y2PtPb2 | Alexandria | GGA-PBE | relaxed
# E_tot   -5.782 eV/atom
# DFT formation energy   -0.505 eV/atom
# Offset from the most stable computed form   0.000 eV per atom
data_Y2PtPb2
_chemical_formula_sum 'Y4 Pt2 Pb4'
_cell_length_a 7.358
_cell_length_b 7.358
_cell_length_c 4.761
_cell_angle_alpha 90.00
_cell_angle_beta 90.00
_cell_angle_gamma 90.00
_space_group_name_H-M_alt 'P 4/m b m'
_space_group_IT_number 127
_space_group_name_Hall '-P 4 2ab'
loop_
_atom_site_label
_atom_site_type_symbol
_atom_site_fract_x
_atom_site_fract_y
_atom_site_fract_z
_atom_site_occupancy
Y1 Y 0.168 0.332 0.000 1
Pt1 Pt 0.000 0.000 0.500 1
Pb1 Pb 0.147 0.647 0.500 1

Record 3
# YPt10Pb | Alexandria | GGA-PBE | relaxed
# E_tot   -6.264 eV/atom
# DFT formation energy   -0.383 eV/atom
data_YPt10Pb
_chemical_formula_sum 'Y1 Pt10 Pb1'
_cell_length_a 4.451
_cell_length_b 5.413
_cell_length_c 9.295
_cell_angle_alpha 90.00
_cell_angle_beta 90.00
_cell_angle_gamma 90.00
_space_group_name_H-M_alt 'P m m m'
_space_group_IT_number 47
loop_
_space_group_symop_operation_xyz
'x,y,z'
'-x,-y,-z'
'-x,-y,z'
'x,y,-z'
'x,-y,-z'
'-x,y,z'
'-x,y,-z'
'x,-y,z'
loop_
_atom_site_label
_atom_site_type_symbol
_atom_site_fract_x
_atom_site_fract_y
_atom_site_fract_z
_atom_site_occupancy
Y1 Y 0.000 0.000 0.000 1
Pt1 Pt 0.000 0.000 0.332 1
Pt2 Pt 0.000 0.500 0.165 1
Pt3 Pt 0.500 0.000 0.500 1
Pt4 Pt 0.500 0.246 0.244 1
Pt5 Pt 0.500 0.500 0.000 1
Pb1 Pb 0.000 0.500 0.500 1

Record 4
# YPtPb2 | Alexandria | GGA-PBE | relaxed
# E_tot   -5.484 eV/atom
# DFT formation energy   -0.503 eV/atom
# Offset from the most stable computed form   0.000 eV per atom
data_YPtPb2
_chemical_formula_sum 'Y1 Pt1 Pb2'
_cell_length_a 3.551
_cell_length_b 3.551
_cell_length_c 8.305
_cell_angle_alpha 90.00
_cell_angle_beta 90.00
_cell_angle_gamma 90.00
_space_group_name_H-M_alt 'P 4 m m'
_space_group_IT_number 99
loop_
_space_group_symop_operation_xyz
'x,y,z'
'-y,x,z'
'-x,-y,z'
'y,-x,z'
'-x,y,z'
'y,x,z'
'x,-y,z'
'-y,-x,z'
loop_
_atom_site_label
_atom_site_type_symbol
_atom_site_fract_x
_atom_site_fract_y
_atom_site_fract_z
_atom_site_occupancy
Y1 Y 0.000 0.000 0.000 1
Pt1 Pt 0.500 0.500 0.826 1
Pb1 Pb 0.000 0.000 0.593 1
Pb2 Pb 0.500 0.500 0.292 1

Record 5
# YPtPb2 | Alexandria | GGA-PBE | relaxed
# E_tot   -5.173 eV/atom
# DFT formation energy   -0.192 eV/atom
# Offset from the most stable computed form   0.311 eV per atom
data_YPtPb2
_chemical_formula_sum 'Y1 Pt1 Pb2'
_cell_length_a 3.559
_cell_length_b 3.559
_cell_length_c 7.681
_cell_angle_alpha 90.00
_cell_angle_beta 90.00
_cell_angle_gamma 90.00
_space_group_name_H-M_alt 'P 4/m m m'
_space_group_IT_number 123
_space_group_name_Hall '-P 4 2'
loop_
_atom_site_label
_atom_site_type_symbol
_atom_site_fract_x
_atom_site_fract_y
_atom_site_fract_z
_atom_site_occupancy
Y1 Y 0.000 0.000 0.000 1
Pt1 Pt 0.000 0.000 0.500 1
Pb1 Pb 0.500 0.500 0.286 1

Record 6
# YPtPb2 | Alexandria | GGA-PBE | relaxed
# E_tot   -5.382 eV/atom
# DFT formation energy   -0.401 eV/atom
# Offset from the most stable computed form   0.102 eV per atom
data_YPtPb2
_chemical_formula_sum 'Y1 Pt1 Pb2'
_cell_length_a 4.590
_cell_length_b 4.590
_cell_length_c 4.592
_cell_angle_alpha 90.00
_cell_angle_beta 90.00
_cell_angle_gamma 90.00
_space_group_name_H-M_alt 'P 4/m m m'
_space_group_IT_number 123
_space_group_name_Hall '-P 4 2'
loop_
_atom_site_label
_atom_site_type_symbol
_atom_site_fract_x
_atom_site_fract_y
_atom_site_fract_z
_atom_site_occupancy
Y1 Y 0.000 0.000 0.000 1
Pt1 Pt 0.500 0.500 0.000 1
Pb1 Pb 0.000 0.500 0.500 1

Record 7
# YPt2Pb2 | Alexandria | GGA-PBE | relaxed
# E_tot   -5.442 eV/atom
# DFT formation energy   -0.249 eV/atom
# Offset from the most stable computed form   0.209 eV per atom
data_YPt2Pb2
_chemical_formula_sum 'Y2 Pt4 Pb4'
_cell_length_a 4.978
_cell_length_b 4.978
_cell_length_c 10.074
_cell_angle_alpha 90.00
_cell_angle_beta 90.00
_cell_angle_gamma 90.00
_space_group_name_H-M_alt 'I 4/m m m'
_space_group_IT_number 139
_space_group_name_Hall '-I 4 2'
loop_
_atom_site_label
_atom_site_type_symbol
_atom_site_fract_x
_atom_site_fract_y
_atom_site_fract_z
_atom_site_occupancy
Y1 Y 0.000 0.000 0.000 1
Pt1 Pt 0.000 0.500 0.250 1
Pb1 Pb 0.000 0.000 0.357 1

Record 8
# Y2ZrPtPb | Alexandria | GGA-PBE | relaxed
# E_tot   -5.454 eV/atom
# DFT formation energy   0.791 eV/atom
data_Y2ZrPtPb
_chemical_formula_sum 'Y2 Zr1 Pt1 Pb1'
_cell_length_a 5.339
_cell_length_b 5.339
_cell_length_c 5.440
_cell_angle_alpha 90.00
_cell_angle_beta 90.00
_cell_angle_gamma 90.00
_space_group_name_H-M_alt 'P 4/m m m'
_space_group_IT_number 123
_space_group_name_Hall '-P 4 2'
loop_
_atom_site_label
_atom_site_type_symbol
_atom_site_fract_x
_atom_site_fract_y
_atom_site_fract_z
_atom_site_occupancy
Y1 Y 0.000 0.500 0.000 1
Zr1 Zr 0.000 0.000 0.000 1
Pt1 Pt 0.500 0.500 0.500 1
Pb1 Pb 0.000 0.000 0.500 1

Copy entry 3 word for word.
# YPt10Pb | Alexandria | GGA-PBE | relaxed
# E_tot   -6.264 eV/atom
# DFT formation energy   -0.383 eV/atom
data_YPt10Pb
_chemical_formula_sum 'Y1 Pt10 Pb1'
_cell_length_a 4.451
_cell_length_b 5.413
_cell_length_c 9.295
_cell_angle_alpha 90.00
_cell_angle_beta 90.00
_cell_angle_gamma 90.00
_space_group_name_H-M_alt 'P m m m'
_space_group_IT_number 47
loop_
_space_group_symop_operation_xyz
'x,y,z'
'-x,-y,-z'
'-x,-y,z'
'x,y,-z'
'x,-y,-z'
'-x,y,z'
'-x,y,-z'
'x,-y,z'
loop_
_atom_site_label
_atom_site_type_symbol
_atom_site_fract_x
_atom_site_fract_y
_atom_site_fract_z
_atom_site_occupancy
Y1 Y 0.000 0.000 0.000 1
Pt1 Pt 0.000 0.000 0.332 1
Pt2 Pt 0.000 0.500 0.165 1
Pt3 Pt 0.500 0.000 0.500 1
Pt4 Pt 0.500 0.246 0.244 1
Pt5 Pt 0.500 0.500 0.000 1
Pb1 Pb 0.000 0.500 0.500 1

Q: Look up the DFT formation energy of the second one.
A: -0.505 eV/atom